This record from Alexandria via LeMat-Bulk describes a relaxed structure of Ho12Er3Pu. The functional is GGA-PBE. Values from VASP.

Geometry as Quantum ESPRESSO input:
```
&SYSTEM
  ibrav = 0, nat = 16, ntyp = 3
/
ATOMIC_SPECIES
Ho 164.93 Ho.upf
Pu 244.00 Pu.upf
Er 167.26 Er.upf
CELL_PARAMETERS angstrom
5.6093 0.0000 0.0000
0.0000 5.6093 0.0000
0.0000 0.0000 15.7740
ATOMIC_POSITIONS angstrom
Ho 0.0000 2.8047 5.8396
Ho 2.8047 2.8047 3.8202
Ho 0.0000 2.8047 13.9617
Ho 2.8047 2.8047 7.8870
Ho 2.8047 2.8047 11.9538
Ho 2.8047 0.0000 13.9617
Ho 2.8047 2.8047 0.0000
Ho 0.0000 2.8047 9.9344
Ho 2.8047 0.0000 1.8123
Ho 2.8047 0.0000 5.8396
Ho 2.8047 0.0000 9.9344
Ho 0.0000 2.8047 1.8123
Pu 0.0000 0.0000 0.0000
Er 0.0000 0.0000 11.9877
Er 0.0000 0.0000 7.8870
Er 0.0000 0.0000 3.7862
```

=====

This record from Alexandria via LeMat-Bulk describes a relaxed structure of LiBeIrW. The functional is GGA-PBE. Values from VASP.

Geometry as Quantum ESPRESSO input:
```
&SYSTEM
  ibrav = 0, nat = 4, ntyp = 4
/
ATOMIC_SPECIES
Ir 192.22 Ir.upf
Li 6.94 Li.upf
Be 9.01 Be.upf
W 183.84 W.upf
CELL_PARAMETERS angstrom
4.1729 0.0000 0.0000
2.0864 3.6138 0.0000
2.0864 1.2046 3.4071
ATOMIC_POSITIONS angstrom
Ir 0.0000 0.0000 0.0000
Li 4.1729 2.4092 1.7036
Be 2.0864 1.2046 0.8518
W 6.2593 3.6138 2.5553
```

=====

This record from Alexandria via LeMat-Bulk describes a relaxed structure of CaNi2Au9. The functional is GGA-PBE. Values from VASP.

Geometry as Quantum ESPRESSO input:
```
&SYSTEM
  ibrav = 0, nat = 24, ntyp = 3
/
ATOMIC_SPECIES
Au 196.97 Au.upf
Ni 58.69 Ni.upf
Ca 40.08 Ca.upf
CELL_PARAMETERS angstrom
6.3763 0.0000 2.9355
3.1881 7.9825 1.4678
-0.1501 0.0000 8.7187
ATOMIC_POSITIONS angstrom
Au 0.0000 0.0000 0.0000
Au 2.1474 0.5927 6.9954
Au 6.1166 4.5839 4.4289
Au 3.3728 7.3898 4.3337
Au 4.8123 1.4651 7.2618
Au 2.0448 5.4563 9.0767
Au 7.2945 6.5174 8.4046
Au 5.3080 6.5174 6.1851
Au 6.3012 3.9912 7.2949
Au 4.0037 3.3986 9.0181
Au 2.2224 3.3986 2.6361
Au 6.4859 4.5839 10.1608
Au 4.0788 0.5927 4.6588
Au 1.3389 2.5261 8.7517
Au 2.8534 7.3898 7.3205
Au 4.1814 5.4563 2.5775
Au 1.4139 1.4651 4.3924
Au 4.8873 2.5261 2.9025
Ni 4.6696 5.9868 8.7407
Ni 6.3387 1.9956 5.1152
Ni 6.2637 1.9956 9.4745
Ni 7.9328 5.9868 5.8491
Ca 3.1131 3.9912 5.8271
Ca 3.1881 0.0000 1.4678
```

=====

no.,ΔE_f (eV per atom)
1,0.14
2,-0.20
3,-0.14